Record 1
## Li3Co5O12 (PBE with a Hubbard U)

Data for Li3Co5O12 after structural relaxation.

Cell lengths 10.3642, 10.3642, 10.3642 Å; angles 109.47, 109.47, 109.47 degrees
Closest atoms and distances in Å follow each position.
Element x y z (fractional)
Li (0.1250, 0.2500, 0.3750)  8 O 2.28-2.48
Li (0.1250, 0.3750, 0.7500)  8 O 2.28-2.48
Li (0.2500, 0.3750, 0.1250)  8 O 2.28-2.48
Li (0.2500, 0.8750, 0.6250)  8 O 2.28-2.48
Li (0.3750, 0.1250, 0.2500)  8 O 2.28-2.48
Li (0.3750, 0.7500, 0.1250)  8 O 2.28-2.48
Li (0.6250, 0.2500, 0.8750)  8 O 2.28-2.48
Li (0.6250, 0.8750, 0.7500)  8 O 2.28-2.48
Li (0.7500, 0.1250, 0.3750)  8 O 2.28-2.48
Li (0.7500, 0.6250, 0.8750)  8 O 2.28-2.48
Li (0.8750, 0.6250, 0.2500)  8 O 2.28-2.48
Li (0.8750, 0.7500, 0.6250)  8 O 2.28-2.48
Co (0.0000, 0.0000, 0.0000)  6 O 1.86
Co (0.0000, 0.0000, 0.5000)  6 O 1.86
Co (0.0000, 0.5000, 0.0000)  6 O 1.86
Co (0.0000, 0.5000, 0.5000)  6 O 1.86
Co (0.1250, 0.7500, 0.8750)  4 O 1.78
Co (0.1250, 0.8750, 0.2500)  4 O 1.78
Co (0.2500, 0.1250, 0.8750)  4 O 1.78
Co (0.2500, 0.6250, 0.3750)  4 O 1.78
Co (0.3750, 0.2500, 0.6250)  4 O 1.78
Co (0.3750, 0.6250, 0.7500)  4 O 1.78
Co (0.5000, 0.0000, 0.0000)  6 O 1.86
Co (0.5000, 0.0000, 0.5000)  6 O 1.86
Co (0.5000, 0.5000, 0.0000)  6 O 1.86
Co (0.5000, 0.5000, 0.5000)  6 O 1.86
Co (0.6250, 0.3750, 0.2500)  4 O 1.78
Co (0.6250, 0.7500, 0.3750)  4 O 1.78
Co (0.7500, 0.3750, 0.6250)  4 O 1.78
Co (0.7500, 0.8750, 0.1250)  4 O 1.78
Co (0.8750, 0.1250, 0.7500)  4 O 1.78
Co (0.8750, 0.2500, 0.1250)  4 O 1.78
O (0.0175, 0.1917, 0.1181)  2 Co 1.78-1.86
O (0.0175, 0.3257, 0.8993)  2 Co 1.78-1.86
O (0.0736, 0.6917, 0.6743)  2 Co 1.78-1.86
O (0.0736, 0.8819, 0.3993)  2 Co 1.78-1.86
O (0.1007, 0.6181, 0.4264)  2 Co 1.78-1.86
O (0.1007, 0.9825, 0.6743)  2 Co 1.78-1.86
O (0.1181, 0.0175, 0.1917)  2 Co 1.78-1.86
O (0.1181, 0.6007, 0.9264)  2 Co 1.78-1.86
O (0.1743, 0.1917, 0.5736)  2 Co 1.78-1.86
O (0.1743, 0.4825, 0.6007)  2 Co 1.78-1.86
O (0.1917, 0.1181, 0.0175)  2 Co 1.78-1.86
O (0.1917, 0.5736, 0.1743)  2 Co 1.78-1.86
O (0.3083, 0.3257, 0.9264)  2 Co 1.78-1.86
O (0.3083, 0.4825, 0.3819)  2 Co 1.78-1.86
O (0.3257, 0.8993, 0.0175)  2 Co 1.78-1.86
O (0.3257, 0.9264, 0.3083)  2 Co 1.78-1.86
O (0.3819, 0.3083, 0.4825)  2 Co 1.78-1.86
O (0.3819, 0.5736, 0.8993)  2 Co 1.78-1.86
O (0.3993, 0.0736, 0.8819)  2 Co 1.78-1.86
O (0.3993, 0.8257, 0.5175)  2 Co 1.78-1.86
O (0.4264, 0.1007, 0.6181)  2 Co 1.78-1.86
O (0.4264, 0.8257, 0.8083)  2 Co 1.78-1.86
O (0.4825, 0.3819, 0.3083)  2 Co 1.78-1.86
O (0.4825, 0.6007, 0.1743)  2 Co 1.78-1.86
O (0.5175, 0.3993, 0.8257)  2 Co 1.78-1.86
O (0.5175, 0.6181, 0.6917)  2 Co 1.78-1.86
O (0.5736, 0.1743, 0.1917)  2 Co 1.78-1.86
O (0.5736, 0.8993, 0.3819)  2 Co 1.78-1.86
O (0.6007, 0.1743, 0.4825)  2 Co 1.78-1.86
O (0.6007, 0.9264, 0.1181)  2 Co 1.78-1.86
O (0.6181, 0.4264, 0.1007)  2 Co 1.78-1.86
O (0.6181, 0.6917, 0.5175)  2 Co 1.78-1.86
O (0.6743, 0.0736, 0.6917)  2 Co 1.78-1.86
O (0.6743, 0.1007, 0.9825)  2 Co 1.78-1.86
O (0.6917, 0.5175, 0.6181)  2 Co 1.78-1.86
O (0.6917, 0.6743, 0.0736)  2 Co 1.78-1.86
O (0.8083, 0.4264, 0.8257)  2 Co 1.78-1.86
O (0.8083, 0.8819, 0.9825)  2 Co 1.78-1.86
O (0.8257, 0.5175, 0.3993)  2 Co 1.78-1.86
O (0.8257, 0.8083, 0.4264)  2 Co 1.78-1.86
O (0.8819, 0.3993, 0.0736)  2 Co 1.78-1.86
O (0.8819, 0.9825, 0.8083)  2 Co 1.78-1.86
O (0.8993, 0.0175, 0.3257)  2 Co 1.78-1.86
O (0.8993, 0.3819, 0.5736)  2 Co 1.78-1.86
O (0.9264, 0.1181, 0.6007)  2 Co 1.78-1.86
O (0.9264, 0.3083, 0.3257)  2 Co 1.78-1.86
O (0.9825, 0.6743, 0.1007)  2 Co 1.78-1.86
O (0.9825, 0.8083, 0.8819)  2 Co 1.78-1.86

Results
The crystal system is cubic.


Record 2
## Li17Co4O16 (PBE with a Hubbard U)

Data for Li17Co4O16 after structural relaxation.

Cell lengths 7.3168, 6.7070, 7.7501 Å; angles 90.00, 90.77, 90.00 degrees
Closest atoms and distances in Å follow each position.
Element x y z (fractional)
Li (0.0000, 0.0000, 0.0000)  4 O 2.04-2.08
Li (0.0507, 0.5000, 0.2119)  4 O 1.95-2.15
Li (0.1151, 0.5000, 0.5222)  4 O 1.95-2.08
Li (0.2950, 0.2291, 0.1993)  4 O 1.88-2.11
Li (0.2950, 0.7709, 0.1993)  4 O 1.88-2.11
Li (0.3051, 0.1949, 0.5338)  4 O 2.03-2.19
Li (0.3051, 0.8051, 0.5338)  4 O 2.03-2.19
Li (0.3498, 0.2470, 0.8799)  4 O 1.92-2.13
Li (0.3498, 0.7530, 0.8799)  4 O 1.92-2.13
Li (0.4976, 0.5000, 0.5660)  3 O 1.96-2.11
Li (0.6150, 0.0000, 0.0856)  3 O 1.88-2.02
Li (0.7682, 0.2550, 0.3606)  4 O 1.96-2.10
Li (0.7682, 0.7450, 0.3606)  4 O 1.96-2.10
Li (0.7815, 0.3078, 0.0179)  3 O 2.01-2.09
Li (0.7815, 0.6922, 0.0179)  3 O 2.01-2.09
Li (0.8368, 0.2530, 0.6875)  4 O 1.92-2.11
Li (0.8368, 0.7470, 0.6875)  4 O 1.92-2.11
Co (0.0273, 0.0000, 0.3906)  4 O 1.80-1.81
Co (0.0855, 0.5000, 0.8857)  4 O 1.80-1.82
Co (0.5263, 0.5000, 0.1859)  4 O 1.84-1.94
Co (0.5829, 0.0000, 0.6776)  4 O 1.80-1.84
O (0.0091, 0.2332, 0.5042)  1 Co 1.80, 2 Li 1.92-1.95
O (0.0091, 0.7668, 0.5042)  1 Co 1.80, 2 Li 1.92-1.95
O (0.1042, 0.2812, 0.0204)  1 Co 1.80, 1 Li 1.99
O (0.1042, 0.7188, 0.0204)  1 Co 1.80, 1 Li 1.99
O (0.2658, 0.0000, 0.3370)  1 Co 1.80, 2 Li 1.88
O (0.2728, 0.5000, 0.7329)  1 Co 1.82, 1 Li 1.99
O (0.3163, 0.5000, 0.3353)  1 Co 1.94, 4 Li 2.08-2.15
O (0.3479, 0.0000, 0.7432)  1 Co 1.80, 2 Li 1.97
O (0.5171, 0.2583, 0.0726)  1 Co 1.84, 4 Li 1.88-2.01
O (0.5171, 0.7417, 0.0726)  1 Co 1.84, 4 Li 1.88-2.01
O (0.5983, 0.2293, 0.5569)  1 Co 1.80, 3 Li 1.96-2.01
O (0.5983, 0.7707, 0.5569)  1 Co 1.80, 3 Li 1.96-2.01
O (0.7720, 0.0000, 0.8360)  1 Co 1.84
O (0.7851, 0.5000, 0.2243)  1 Co 1.91, 5 Li 1.95-2.05
O (0.8496, 0.0000, 0.2250)  1 Co 1.81, 1 Li 2.02
O (0.8499, 0.5000, 0.8169)  1 Co 1.80, 2 Li 1.94

Results
The crystal system is monoclinic. The energy above the most stable polymorph in this dataset is 0 meV per atom.


Record 3
## Li4Co3O7 (PBE with a Hubbard U)

Data for Li4Co3O7 after structural relaxation.

Cell lengths 14.5294, 14.5294, 5.8804 Å; angles 96.68, 96.68, 11.51 degrees
Closest atoms and distances in Å follow each position.
Element x y z (fractional)
Li (0.0000, 0.0000, 0.0000)  6 O 2.04-2.26
Li (0.0000, 0.0000, 0.5000)  6 O 2.10
Li (0.1414, 0.1414, 0.5732)  5 O 1.97-2.17
Li (0.2860, 0.2860, 0.1445)  6 O 2.05-2.15
Li (0.4332, 0.4332, 0.7114)  5 O 2.05-2.19
Li (0.5668, 0.5668, 0.2886)  5 O 2.05-2.19
Li (0.7140, 0.7140, 0.8555)  6 O 2.05-2.15
Li (0.8586, 0.8586, 0.4268)  5 O 1.97-2.17
Co (0.1442, 0.1442, 0.0689)  6 O 1.88-2.01
Co (0.2853, 0.2853, 0.6435)  6 O 1.91-2.02
Co (0.4333, 0.4333, 0.2265)  3 O 1.78-1.97
Co (0.5667, 0.5667, 0.7735)  3 O 1.78-1.97
Co (0.7147, 0.7147, 0.3565)  6 O 1.91-2.02
Co (0.8558, 0.8558, 0.9311)  6 O 1.88-2.01
O (0.0729, 0.0729, 0.5531)  4 Li 1.97-2.12, 2 Co 1.97
O (0.0786, 0.0786, 0.0228)  3 Co 1.88-2.07
O (0.2112, 0.2112, 0.1191)  3 Co 1.93-2.01, 3 Li 2.14-2.15
O (0.2184, 0.2184, 0.5953)  3 Co 1.92-2.02, 2 Li 2.13
O (0.3517, 0.3517, 0.6943)  3 Co 1.91-2.01
O (0.3573, 0.3573, 0.1557)  3 Co 1.96-2.19, 3 Li 2.05-2.16
O (0.4953, 0.4953, 0.2400)  1 Co 1.78
O (0.5047, 0.5047, 0.7600)  1 Co 1.78
O (0.6427, 0.6427, 0.8443)  3 Co 1.96-2.19, 3 Li 2.05-2.16
O (0.6483, 0.6483, 0.3057)  3 Co 1.91-2.01
O (0.7816, 0.7816, 0.4047)  3 Co 1.92-2.02, 2 Li 2.13
O (0.7888, 0.7888, 0.8809)  3 Co 1.93-2.01, 3 Li 2.14-2.15
O (0.9214, 0.9214, 0.9772)  3 Co 1.88-2.07
O (0.9271, 0.9271, 0.4469)  4 Li 1.97-2.12, 2 Co 1.97

Results
The crystal system is monoclinic. The energy above the most stable polymorph in this dataset is 81 meV per atom.


| no. | total energy (eV per atom) | size of the total moment (Bohr magnetons per cell) |
| --- | --- | --- |
| 1 | -5.38 | 70.58 |
| 2 | -5.13 | 18.94 |
| 3 | -5.49 | 14.00 |